Entry from the Alexandria database: a relaxed Li2AlSb crystal (GGA-PBEsol).

Geometry as POSCAR:
```
Li2AlSb
1.0
4.088 0.000 0.000
0.000 4.088 0.000
0.000 0.000 8.676
Li Al Sb
4 2 2
direct
0.000 0.500 0.250
0.000 0.500 0.750
0.500 0.000 0.250
0.500 0.000 0.750
0.000 0.000 0.000
0.500 0.500 0.500
0.000 0.000 0.500
0.500 0.500 0.000
```

Summary:
* energy relative to the elements, uncorrected: -302 meV per atom

Entry from the Alexandria database: a relaxed Li2ScAl crystal (GGA-PBEsol).

Geometry as POSCAR:
```
Li2ScAl
1.0
2.981 0.000 0.000
0.000 2.981 0.000
0.000 0.000 8.112
Li Sc Al
2 1 1
direct
0.000 0.000 0.214
0.000 0.000 0.786
0.500 0.500 0.500
0.500 0.500 0.000
```

Summary:
* ΔE_f: 0.08 eV per atom

Entry from the Alexandria database: a relaxed LiScAl crystal (GGA-PBEsol).

Geometry as POSCAR:
```
LiScAl
1.0
4.629 0.000 0.000
-2.315 4.009 0.000
0.000 0.000 2.987
Li Sc Al
1 1 1
direct
0.000 0.000 0.000
0.333 0.667 0.500
0.667 0.333 0.000
```

Summary:
* ΔE_f: -0.19 eV per atom

no.,spin magnetization (μB/cell)
1,0.000
2,0.002
3,0.001